1.
Here is a relaxed Ba2NiI crystal from Alexandria via LeMat-Bulk. Energies are from GGA-PBE.

Summary:
DOS at the Fermi energy (states/eV/f.u.): 2.30

Cell: 3.987 3.987 8.738 Å, 90.00 90.00 90.00°
Fractional positions:
Ba 0.000 0.000 0.209
Ba 0.000 0.000 0.791
Ni 0.500 0.500 0.000
I 0.500 0.500 0.500

=====

2.
Here is a relaxed Ba2NiI crystal from Alexandria via LeMat-Bulk. Energies are from GGA-PBE.

Summary:
DOS at the Fermi energy (states/eV/f.u.): 4.12

Cell: 8.238 8.238 8.238 Å, 90.00 90.00 90.00°
Fractional positions:
Ba 0.250 0.250 0.250
Ba 0.250 0.250 0.750
Ba 0.250 0.750 0.250
Ba 0.250 0.750 0.750
Ba 0.750 0.250 0.250
Ba 0.750 0.250 0.750
Ba 0.750 0.750 0.250
Ba 0.750 0.750 0.750
Ni 0.000 0.000 0.000
Ni 0.000 0.500 0.500
Ni 0.500 0.000 0.500
Ni 0.500 0.500 0.000
I 0.000 0.000 0.500
I 0.000 0.500 0.000
I 0.500 0.000 0.000
I 0.500 0.500 0.500

=====

Decreasing stability: 1, 2

=====

1.
Here is a relaxed Ba2NiI6 crystal from Alexandria via LeMat-Bulk. Energies are from GGA-PBE.

Cell: 7.587 7.587 14.604 Å, 90.00 90.00 90.00°
Fractional positions:
Ba 0.000 0.000 0.165
Ba 0.000 0.000 0.835
Ba 0.500 0.500 0.335
Ba 0.500 0.500 0.665
Ni 0.000 0.000 0.500
Ni 0.500 0.500 0.000
I 0.179 0.179 0.363
I 0.179 0.179 0.637
I 0.233 0.233 0.000
I 0.267 0.733 0.500
I 0.321 0.679 0.137
I 0.321 0.679 0.863
I 0.679 0.321 0.137
I 0.679 0.321 0.863
I 0.733 0.267 0.500
I 0.767 0.767 0.000
I 0.821 0.821 0.363
I 0.821 0.821 0.637

=====

2.
Here is a relaxed Ba2NiI6 crystal from Alexandria via LeMat-Bulk. Energies are from GGA-PBE.

Cell: 7.661 8.685 13.279 Å, 90.00 124.43 90.00°
Fractional positions:
Ba 0.218 0.103 0.256
Ba 0.218 0.397 0.756
Ba 0.782 0.603 0.244
Ba 0.782 0.897 0.744
Ni 0.500 0.000 0.000
Ni 0.500 0.500 0.500
I 0.151 0.165 0.955
I 0.151 0.335 0.455
I 0.287 0.711 0.954
I 0.287 0.789 0.454
I 0.350 0.013 0.757
I 0.350 0.487 0.257
I 0.650 0.513 0.743
I 0.650 0.987 0.243
I 0.713 0.211 0.546
I 0.713 0.289 0.046
I 0.849 0.665 0.545
I 0.849 0.835 0.045

=====

Decreasing stability: 2, 1

=====

1.
Here is a relaxed BaNi3I crystal from Alexandria via LeMat-Bulk. Energies are from GGA-PBE.

Summary:
DOS at the Fermi energy (states/eV/f.u.): 3.72

Cell: 5.020 5.020 5.020 Å, 90.00 90.00 90.00°
Fractional positions:
Ba 0.000 0.000 0.000
Ni 0.000 0.000 0.500
Ni 0.000 0.500 0.000
Ni 0.500 0.000 0.000
I 0.500 0.500 0.500

=====

2.
Here is a relaxed BaNi3I crystal from Alexandria via LeMat-Bulk. Energies are from GGA-PBE.

Summary:
DOS at the Fermi energy (states/eV/f.u.): 3.59

Cell: 4.840 4.840 4.840 Å, 90.00 90.00 90.00°
Fractional positions:
Ba 0.000 0.000 0.000
Ni 0.000 0.500 0.500
Ni 0.500 0.000 0.500
Ni 0.500 0.500 0.000
I 0.500 0.500 0.500

=====

Decreasing stability: 2, 1

=====

1.
Here is a relaxed BaNi2I crystal from Alexandria via LeMat-Bulk. Energies are from GGA-PBE.

Summary:
DOS at the Fermi energy (states/eV/f.u.): 4.48

Cell: 7.093 7.093 7.093 Å, 90.00 90.00 90.00°
Fractional positions:
Ba 0.000 0.000 0.000
Ba 0.000 0.500 0.500
Ba 0.500 0.000 0.500
Ba 0.500 0.500 0.000
Ni 0.250 0.250 0.250
Ni 0.250 0.250 0.750
Ni 0.250 0.750 0.250
Ni 0.250 0.750 0.750
Ni 0.750 0.250 0.250
Ni 0.750 0.250 0.750
Ni 0.750 0.750 0.250
Ni 0.750 0.750 0.750
I 0.000 0.000 0.500
I 0.000 0.500 0.000
I 0.500 0.000 0.000
I 0.500 0.500 0.500

=====

2.
Here is a relaxed BaNi2I crystal from Alexandria via LeMat-Bulk. Energies are from GGA-PBE.

Summary:
DOS at the Fermi energy (states/eV/f.u.): 4.62

Cell: 5.046 5.046 16.920 Å, 90.00 90.00 90.00°
Fractional positions:
Ba 0.000 0.250 0.375
Ba 0.000 0.750 0.625
Ba 0.500 0.250 0.125
Ba 0.500 0.750 0.875
Ni 0.000 0.000 0.000
Ni 0.000 0.500 0.000
Ni 0.250 0.250 0.750
Ni 0.250 0.750 0.250
Ni 0.500 0.000 0.500
Ni 0.500 0.500 0.500
Ni 0.750 0.250 0.750
Ni 0.750 0.750 0.250
I 0.000 0.250 0.875
I 0.000 0.750 0.125
I 0.500 0.250 0.625
I 0.500 0.750 0.375

=====

Decreasing stability: 2, 1